Entry 1:
Below is crystalline VPOsPt2 at its relaxed geometry, with properties calculated at the PBE level.

For the formation energy, the calculation gives 1399 meV per atom. The calculation puts the uncorrected energy at -6.169 eV/atom. The total magnetization comes out at 0.00 μB/cell.

The structure belongs to space group P4/mmm (No. 123); the cell edges are 4.868, 4.868 and 4.439 Å and the angles 90.00°, 90.00° and 90.00°. Symmetry generates all atoms from V at (0.000, 0.000, 0.000), P at (0.500, 0.500, 0.000), Os at (0.000, 0.000, 0.500) and Pt at (0.000, 0.500, 0.500).

***

Entry 2:
Below is crystalline Ac3La4Pr4 at its relaxed geometry, with properties calculated at the PBE level.

For the formation energy, the calculation gives 26 meV per atom. The calculation puts the uncorrected energy at -4.624 eV/atom. The calculation puts the distance to the lowest polymorph of the same formula at 0.000 eV per atom. The total magnetization comes out at 0.00 μB/cell.

The structure belongs to space group P-1 (No. 2); the cell edges are 3.760, 5.999 and 19.245 Å and the angles 98.93°, 95.57° and 90.01°. Symmetry generates all atoms from Ac at (0.000, 0.000, 0.000), Ac at (0.137, 0.637, 0.275), La at (0.266, 0.266, 0.532), La at (0.408, 0.908, 0.816), Pr at (0.318, 0.817, 0.635) and Pr at (0.455, 0.454, 0.909).

***

Entry 3:
Below is crystalline NdZr2Ti at its relaxed geometry, with properties calculated at the PBE level.

For the formation energy, the calculation gives 158 meV per atom. The calculation puts the uncorrected energy at -7.282 eV/atom. The calculation puts the distance to the lowest polymorph of the same formula at 0.000 eV per atom. The total magnetization comes out at 0.00 μB/cell.

The structure belongs to space group P4/mmm (No. 123); the cell edges are 3.642, 3.642 and 7.344 Å and the angles 90.00°, 90.00° and 90.00°. Symmetry generates all atoms from Nd at (0.000, 0.000, 0.000), Zr at (0.500, 0.500, 0.301) and Ti at (0.000, 0.000, 0.500).

***

Entry 4:
Below is crystalline SrMg14W at its relaxed geometry, with properties calculated at the PBE level.

For the formation energy, the calculation gives 199 meV per atom. The calculation puts the uncorrected energy at -2.110 eV/atom. The calculation puts the distance to the lowest polymorph of the same formula at 0.000 eV per atom. The total magnetization comes out at 0.99 μB/cell.

The structure belongs to space group P-6m2 (No. 187); the cell edges are 6.4658, 6.4658 and 10.3601 Å and the angles 90.00°, 90.00° and 120.00°. Symmetry generates all atoms from Sr at (0.0000, 0.0000, 0.0000), Mg at (0.0150, 0.5075, 0.0000), Mg at (0.1630, 0.3260, 0.2751), Mg at (0.5048, 0.0097, 0.5000), Mg at (0.6667, 0.3333, 0.2353) and W at (0.0000, 0.0000, 0.5000).

***

Entry 5:
Below is crystalline HoErScIn at its relaxed geometry, with properties calculated at the PBE level.

For the formation energy, the calculation gives -151 meV per atom. The calculation puts the uncorrected energy at -4.703 eV/atom. The calculation puts the distance to the lowest polymorph of the same formula at 0.107 eV per atom. The total magnetization comes out at 3.15 μB/cell.

The structure belongs to space group F-43m (No. 216); the cell edges are 7.518, 7.518 and 7.518 Å and the angles 90.00°, 90.00° and 90.00°. Symmetry generates all atoms from Ho at (0.000, 0.000, 0.000), Er at (0.000, 0.000, 0.500), Sc at (0.250, 0.250, 0.750) and In at (0.250, 0.250, 0.250).

***

Entry 6:
Below is crystalline Hg6BiI2 at its relaxed geometry, with properties calculated at the PBE level.

The calculation puts the uncorrected energy at -1.045 eV/atom. The total magnetization comes out at 0.00 μB/cell. For the formation energy (no corrections), the calculation gives -0.068 eV per atom.

The structure belongs to space group P2_1/c (No. 14); the cell edges are 6.120, 7.858 and 13.860 Å and the angles 90.00°, 103.73° and 90.00°. Symmetry generates all atoms from Hg at (0.042, 0.005, 0.156), Hg at (0.245, 0.170, 0.361), Hg at (0.341, 0.664, 0.506), Bi at (0.000, 0.000, 0.500) and I at (0.384, 0.119, 0.675).

***

Entry 7:
Below is crystalline Tb5Dy5Sb6 at its relaxed geometry, with properties calculated at the PBE level.

The calculation puts the uncorrected energy at -5.362 eV/atom. The total magnetization comes out at 0.00 μB/cell. For the formation energy (no corrections), the calculation gives -0.931 eV per atom.

The structure belongs to space group Amm2 (No. 38); the cell edges are 6.317, 15.609 and 9.001 Å and the angles 90.00°, 90.00° and 90.00°. Symmetry generates all atoms from Tb at (0.000, 0.000, 0.000), Tb at (0.250, 0.167, 0.253), Dy at (0.000, 0.124, 0.630), Dy at (0.500, 0.000, 0.507), Dy at (0.500, 0.124, 0.877), Sb at (0.000, 0.000, 0.366), Sb at (0.000, 0.194, 0.947), Sb at (0.500, 0.000, 0.142) and Sb at (0.500, 0.194, 0.559).

***

Entry 8:
Below is crystalline Ce6TlO12 at its relaxed geometry, with properties calculated at the PBE level.

The calculation puts the uncorrected energy at -8.264 eV/atom. The total magnetization comes out at 4.86 μB/cell. For the formation energy (no corrections), the calculation gives -3.134 eV per atom.

The structure belongs to space group R-3 (No. 148, hexagonal axes); the cell edges are 10.5786, 10.5786 and 9.2837 Å and the angles 90.00°, 90.00° and 120.00°. Symmetry generates all atoms from Ce at (0.0482, 0.2505, 0.1569), Tl at (0.0000, 0.0000, 0.5000), O at (0.0374, 0.2474, 0.3977) and O at (0.0413, 0.2136, 0.8960).

***

Entry 9:
Below is crystalline Rb2SbAuS4 at its relaxed geometry, with properties calculated at the PBE level.

The calculation puts the uncorrected energy at -3.887 eV/atom. The calculation puts the distance to the lowest polymorph of the same formula at 0.000 eV per atom. The total magnetization comes out at 0.00 μB/cell. For the formation energy (no corrections), the calculation gives -0.657 eV per atom.

The structure belongs to space group Pbcm (No. 57); the cell edges are 7.059, 20.523 and 7.380 Å and the angles 90.00°, 90.00° and 90.00°. Symmetry generates all atoms from Rb at (0.081, 0.172, 0.250), Rb at (0.297, 0.012, 0.750), Sb at (0.204, 0.610, 0.750), Au at (0.383, 0.750, 0.000), S at (0.093, 0.160, 0.750), S at (0.202, 0.004, 0.250) and S at (0.383, 0.638, 0.017).

***

Entry 10:
Below is crystalline NiAg2Ru at its relaxed geometry, with properties calculated at the PBE level.

For the formation energy, the calculation gives 267 meV per atom. The calculation puts the uncorrected energy at -4.923 eV/atom. The calculation puts the distance to the lowest polymorph of the same formula at 0.000 eV per atom. The total magnetization comes out at 0.30 μB/cell.

The structure belongs to space group Pm (No. 6); the cell edges are 2.743, 2.745 and 8.044 Å and the angles 90.00°, 90.11° and 90.00°. Symmetry generates all atoms from Ni at (0.000, 0.000, 0.000), Ag at (0.499, 0.500, 0.247), Ag at (0.999, 0.000, 0.529) and Ru at (0.499, 0.500, 0.801).

***

Entry 11:
Below is crystalline Pr3TmTl2 at its relaxed geometry, with properties calculated at the PBE level.

For the formation energy, the calculation gives -233 meV per atom. The calculation puts the uncorrected energy at -4.157 eV/atom. The total magnetization comes out at 4.15 μB/cell.

The structure belongs to space group Ibam (No. 72); the cell edges are 6.774, 16.986 and 6.730 Å and the angles 90.00°, 90.00° and 90.00°. Symmetry generates all atoms from Pr at (0.000, 0.000, 0.250), Pr at (0.247, 0.323, 0.000), Tm at (0.000, 0.500, 0.250) and Tl at (0.240, 0.366, 0.500).